Entry 1:
MoIr2Ru after structural relaxation. Source: the Alexandria database, functional PBE-GGA.

Geometry as POSCAR:
```
MoIr2Ru
1.0
-3.720 2.220 0.658
-0.450 0.052 -2.725
-2.421 -4.153 0.320
Ru Mo Ir
1 1 2
direct
0.500 0.625 0.795 Ru
0.000 0.625 0.465 Mo
0.000 0.125 0.952 Ir
0.500 0.125 0.288 Ir
```

## Properties
Its energy above the most stable polymorph in this dataset is 0.000 eV/atom. The value obtained for the total magnetization is 0.0 μB per formula unit. As for the symmetry: Pmm2. The value obtained for the calculated volume is 14.6 A^3/atom. The value obtained for the energy of formation from the pure elements is -0.248 eV/atom.

=====

Entry 2:
Ce4Pa6S19 after structural relaxation. Source: the Alexandria database, functional PBE-GGA.

Geometry as POSCAR:
```
Ce4Pa6S19
1.0
9.139 0.000 -3.231
-4.569 7.914 -3.231
0.000 0.000 9.693
Ce Pa S
4 6 19
direct
0.000 0.000 0.681 Ce
0.000 0.681 0.000 Ce
0.319 0.319 0.319 Ce
0.681 0.000 0.000 Ce
0.319 0.500 0.819 Pa
0.681 0.500 0.181 Pa
0.181 0.681 0.500 Pa
0.819 0.319 0.500 Pa
0.500 0.819 0.319 Pa
0.500 0.181 0.681 Pa
0.655 0.000 0.655 S
0.345 0.000 0.345 S
0.345 0.345 0.000 S
0.655 0.655 0.000 S
0.000 0.655 0.655 S
0.000 0.345 0.345 S
0.000 0.000 0.000 S
0.223 0.209 0.566 S
0.777 0.343 0.986 S
0.643 0.657 0.434 S
0.986 0.777 0.343 S
0.357 0.791 0.014 S
0.566 0.223 0.209 S
0.014 0.357 0.791 S
0.434 0.643 0.657 S
0.791 0.014 0.357 S
0.343 0.986 0.777 S
0.209 0.566 0.223 S
0.657 0.434 0.643 S
```

## Properties
The value obtained for the total magnetization is 8.2 μB per formula unit. As for the symmetry: I23. The value obtained for the calculated volume is 24.2 A^3/atom. For the energy relative to the elements, uncorrected, the calculation gives -1.60 eV per atom.

=====

Entry 3:
La4PrSm2 after structural relaxation. Source: the Alexandria database, functional PBE-GGA.

Geometry as POSCAR:
```
La4PrSm2
1.0
-0.643 -6.959 0.326
6.366 -4.342 -5.069
5.244 -3.691 6.630
La Pr Sm
8 2 4
direct
0.147 0.352 0.354 La
0.147 0.854 0.852 La
0.226 0.243 0.743 La
0.788 0.243 0.743 La
0.212 0.757 0.257 La
0.853 0.146 0.148 La
0.774 0.757 0.257 La
0.853 0.648 0.646 La
0.000 0.500 0.000 Pr
0.500 0.500 0.000 Pr
0.281 0.969 0.469 Sm
0.500 0.000 0.000 Sm
0.500 0.500 0.500 Sm
0.719 0.031 0.531 Sm
```

## Properties
Its energy above the most stable polymorph in this dataset is 0.122 eV/atom. The value obtained for the total magnetization is 0.0 μB per formula unit. As for the symmetry: Imma. The value obtained for the calculated volume is 36.4 A^3/atom. The value obtained for the energy of formation from the pure elements is 0.201 eV/atom.

=====

Entry 4:
MnCo2Br6 after structural relaxation. Source: the Alexandria database, functional PBE-GGA.

Geometry as POSCAR:
```
MnCo2Br6
1.0
-1.127 -3.258 1.903
0.115 -1.505 -6.585
10.567 -2.406 2.136
Mn Co Br
1 2 6
direct
0.000 0.000 0.500 Mn
0.292 0.583 0.756 Co
0.708 0.417 0.244 Co
0.106 0.212 0.723 Br
0.151 0.302 0.127 Br
0.849 0.698 0.873 Br
0.372 0.744 0.567 Br
0.628 0.256 0.433 Br
0.894 0.788 0.277 Br
```

## Properties
Its energy above the most stable polymorph in this dataset is 0.003 eV/atom. The value obtained for the total magnetization is 11.0 μB per formula unit. As for the symmetry: C2/m. The value obtained for the calculated volume is 31.0 A^3/atom. For the energy relative to the elements, uncorrected, the calculation gives -0.40 eV per atom.

=====

Entry 5:
PmTm5Th4 after structural relaxation. Source: the Alexandria database, functional PBE-GGA.

Geometry as POSCAR:
```
PmTm5Th4
1.0
-2.136 1.510 2.263
-5.672 -9.964 1.276
4.560 -5.218 5.142
Pm Tm Th
1 5 4
direct
0.500 0.000 0.000 Pm
0.210 0.384 0.418 Tm
0.195 0.913 0.390 Tm
0.805 0.087 0.610 Tm
0.500 0.500 0.000 Tm
0.790 0.616 0.582 Tm
0.598 0.206 0.195 Th
0.907 0.300 0.816 Th
0.402 0.794 0.805 Th
0.093 0.700 0.184 Th
```

## Properties
The value obtained for the total magnetization is 0.0 μB per formula unit. As for the symmetry: P-1. The value obtained for the calculated volume is 31.8 A^3/atom. The value obtained for the energy of formation from the pure elements is 0.113 eV/atom.

=====

Entry 6:
Nb3Ru6Rh after structural relaxation. Source: the Alexandria database, functional PBE-GGA.

Geometry as POSCAR:
```
Nb3Ru6Rh
1.0
-1.907 -0.808 -3.949
6.827 0.587 -3.418
-2.494 -9.101 3.068
Nb Ru Rh
6 12 2
direct
0.250 0.536 0.367 Nb
0.750 0.464 0.633 Nb
0.250 0.328 0.771 Nb
0.750 0.672 0.229 Nb
0.250 0.768 0.967 Nb
0.750 0.232 0.033 Nb
0.250 0.468 0.081 Ru
0.750 0.532 0.919 Ru
0.250 0.158 0.165 Ru
0.750 0.842 0.835 Ru
0.250 0.678 0.663 Ru
0.750 0.322 0.337 Ru
0.250 0.264 0.476 Ru
0.750 0.736 0.524 Ru
0.250 0.887 0.270 Ru
0.750 0.113 0.730 Ru
0.250 0.060 0.869 Ru
0.750 0.940 0.131 Ru
0.250 0.954 0.558 Rh
0.750 0.046 0.442 Rh
```

## Properties
The value obtained for the total magnetization is 0.0 μB per formula unit. As for the symmetry: P2_1/m. The value obtained for the calculated volume is 15.3 A^3/atom. The value obtained for the energy of formation from the pure elements is -0.162 eV/atom.

=====

Entry 7:
IrSe2BrO after structural relaxation. Source: the Alexandria database, functional PBE-GGA.

Geometry as POSCAR:
```
IrSe2BrO
1.0
4.365 0.000 0.000
0.000 4.365 0.000
0.000 0.000 4.621
O Ir Se Br
1 1 2 1
direct
0.000 0.000 0.000 O
0.500 0.500 0.500 Ir
0.000 0.500 0.000 Se
0.500 0.000 0.000 Se
0.000 0.000 0.500 Br
```

## Properties
Its energy above the most stable polymorph in this dataset is 0.133 eV/atom. The value obtained for the total magnetization is 0.0 μB per formula unit. As for the symmetry: P4/mmm. The value obtained for the calculated volume is 17.6 A^3/atom. For the energy relative to the elements, uncorrected, the calculation gives 1.14 eV per atom.

=====

Entry 8:
AlTlCu after structural relaxation. Source: the Alexandria database, functional PBE-GGA.

Geometry as POSCAR:
```
AlTlCu
1.0
6.305 -0.077 0.081
5.550 2.994 0.089
0.756 0.179 3.066
Tl Al Cu
1 1 1
direct
0.326 0.326 0.674 Tl
0.037 0.037 0.963 Al
0.637 0.637 0.363 Cu
```

## Properties
Its energy above the most stable polymorph in this dataset is 0.002 eV/atom. The value obtained for the total magnetization is 0.0 μB per formula unit. As for the symmetry: I4mm. The value obtained for the calculated volume is 19.7 A^3/atom. The value obtained for the energy of formation from the pure elements is 0.182 eV/atom.

=====

Entry 9:
AlCoSi2 after structural relaxation. Source: the Alexandria database, functional PBE-GGA.

Geometry as POSCAR:
```
AlCoSi2
1.0
-2.417 -3.279 2.024
2.255 -1.631 3.598
-1.057 4.231 -1.293
Si Co Al
2 1 1
direct
0.000 0.000 0.000 Si
0.750 0.250 0.500 Si
0.250 0.750 0.500 Co
0.500 0.500 0.000 Al
```

## Properties
The value obtained for the total magnetization is 0.0 μB per formula unit. As for the symmetry: I-4m2. The value obtained for the calculated volume is 12.6 A^3/atom. For the energy relative to the elements, uncorrected, the calculation gives 0.01 eV per atom.

=====

Entry 10:
Ce2PmGa after structural relaxation. Source: the Alexandria database, functional PBE-GGA.

Geometry as POSCAR:
```
Ce2PmGa
1.0
0.128 3.925 -4.019
-5.702 -1.725 0.701
-0.855 4.667 4.531
Ce Pm Ga
4 2 2
direct
0.419 0.764 0.037 Ce
0.419 0.764 0.463 Ce
0.581 0.236 0.963 Ce
0.581 0.236 0.537 Ce
0.054 0.166 0.250 Pm
0.946 0.834 0.750 Pm
0.881 0.640 0.250 Ga
0.119 0.360 0.750 Ga
```

## Properties
Its energy above the most stable polymorph in this dataset is 0.020 eV/atom. The value obtained for the total magnetization is 0.2 μB per formula unit. As for the symmetry: P2_1/m. The value obtained for the calculated volume is 26.3 A^3/atom. The value obtained for the energy of formation from the pure elements is -0.268 eV/atom.

=====

Entry 11:
La2Ga3HgAu4 after structural relaxation. Source: the Alexandria database, functional PBE-GGA.

Geometry as POSCAR:
```
La2Ga3HgAu4
1.0
-3.724 2.408 -0.951
-1.997 -1.612 3.739
3.935 8.336 5.695
La Ga Hg Au
2 3 1 4
direct
0.500 0.000 0.244 La
0.000 0.500 0.756 La
0.000 0.000 0.500 Ga
0.500 0.000 0.878 Ga
0.000 0.500 0.122 Ga
0.500 0.500 0.500 Hg
0.500 0.500 0.000 Au
0.000 0.000 0.000 Au
0.500 0.000 0.648 Au
0.000 0.500 0.352 Au
```

## Properties
The value obtained for the total magnetization is 0.0 μB per formula unit. As for the symmetry: P-4m2. The value obtained for the calculated volume is 22.3 A^3/atom. The value obtained for the energy of formation from the pure elements is -0.602 eV/atom.

=====

Entry 12:
SiPtBr3 after structural relaxation. Source: the Alexandria database, functional PBE-GGA.

Geometry as POSCAR:
```
SiPtBr3
1.0
5.092 0.000 0.000
0.000 5.092 0.000
0.000 0.000 5.092
Si Br Pt
1 3 1
direct
0.000 0.000 0.000 Si
0.000 0.500 0.000 Br
0.000 0.000 0.500 Br
0.500 0.000 0.000 Br
0.500 0.500 0.500 Pt
```

## Properties
Its energy above the most stable polymorph in this dataset is 0.190 eV/atom. The value obtained for the total magnetization is 0.8 μB per formula unit. As for the symmetry: Pm-3m. The value obtained for the calculated volume is 26.4 A^3/atom. For the energy relative to the elements, uncorrected, the calculation gives 0.63 eV per atom.

=====

It is found that the E_tot values, taken in the order of the records, are -9.71 -7.09 -4.65 -4.11 -5.57 -9.48 -3.35 -3.22 -5.41 -5.18 -3.84 -2.67 eV per atom.